No. 1
# Zr2CdPd

A relaxed Zr2CdPd crystal (GGA-PBE, Alexandria via LeMat-Bulk).

Structure (POSCAR):
```
Zr2CdPd
1.0
4.4648 0.0000 0.0000
0.0000 4.4648 0.0000
0.0000 0.0000 8.1878
Zr Cd Pd
4 2 2
direct
0.2500 0.2500 0.2083
0.2500 0.7500 0.5000
0.7500 0.2500 0.5000
0.7500 0.7500 0.7917
0.2500 0.2500 0.7709
0.7500 0.7500 0.2291
0.2500 0.7500 0.0000
0.7500 0.2500 0.0000
```

Calculated values
The space group is No. 129. The mass density is 8.2 Mg/m³.



No. 2
# PmCd4

A relaxed PmCd4 crystal (GGA-PBE, Alexandria via LeMat-Bulk).

Structure (POSCAR):
```
PmCd4
1.0
6.0954 0.0000 0.0000
0.0000 6.0954 0.0000
0.0000 0.0000 6.0954
Pm Cd
1 4
direct
0.0000 0.0000 0.0000
0.0000 0.0000 0.5000
0.0000 0.5000 0.0000
0.5000 0.0000 0.0000
0.5000 0.5000 0.5000
```

Calculated values
The space group is No. 221. The mass density is 4.4 Mg/m³. As for the offset from the most stable computed form: 4.574 eV/f.u.



No. 3
# Pm3Cd2

A relaxed Pm3Cd2 crystal (GGA-PBE, Alexandria via LeMat-Bulk).

Structure (POSCAR):
```
Pm3Cd2
1.0
-1.9057 1.9057 10.1531
1.9057 -1.9057 10.1531
1.9057 1.9057 -10.1531
Pm Cd
3 2
direct
0.0000 0.0000 0.0000
0.1894 0.1894 0.0000
0.8106 0.8106 0.0000
0.4042 0.4042 0.0000
0.5958 0.5958 0.0000
```

Calculated values
The space group is No. 139. The mass density is 7.4 Mg/m³.



No. 4
# Pm3Cd4

A relaxed Pm3Cd4 crystal (GGA-PBE, Alexandria via LeMat-Bulk).

Structure (POSCAR):
```
Pm3Cd4
1.0
2.6572 1.5342 8.6625
-2.6572 1.5342 8.6625
0.0000 -3.0683 8.6625
Pm Cd
3 4
direct
0.0000 0.0000 0.0000
0.2486 0.2486 0.2486
0.7514 0.7514 0.7514
0.1256 0.1256 0.1256
0.3812 0.3812 0.3812
0.6188 0.6188 0.6188
0.8744 0.8744 0.8744
```

Calculated values
The space group is No. 166. The mass density is 6.9 Mg/m³. As for the offset from the most stable computed form: 1.179 eV/f.u.



No. 5
# PmCd2

A relaxed PmCd2 crystal (GGA-PBE, Alexandria via LeMat-Bulk).

Structure (POSCAR):
```
PmCd2
1.0
4.3911 -2.5329 0.0000
4.3911 2.5329 0.0000
-0.0243 0.0000 3.4442
Pm Cd
1 2
direct
0.0000 0.0000 0.0000
0.3334 0.3334 0.4993
0.6666 0.6666 0.5007
```

Calculated values
The space group is No. 12. The mass density is 8.0 Mg/m³. As for the offset from the most stable computed form: 0.000 eV/f.u.



No. 6
# Pm5Cd

A relaxed Pm5Cd crystal (GGA-PBE, Alexandria via LeMat-Bulk).

Structure (POSCAR):
```
Pm5Cd
1.0
6.3098 -1.8841 0.0000
6.3098 1.8841 0.0000
-2.9733 0.0000 8.1521
Pm Cd
5 1
direct
0.0000 0.0000 0.0000
0.0044 0.0044 0.5843
0.3002 0.3002 0.6980
0.3339 0.3339 0.2114
0.6353 0.6353 0.3500
0.6820 0.6820 0.9014
```

Calculated values
The space group is No. 8. The mass density is 7.2 Mg/m³. As for the offset from the most stable computed form: 0.092 eV/f.u.



| no. | formation energy from the elements (eV/atom) |
| --- | --- |
| 1 | -0.299 |
| 2 | 0.676 |
| 3 | -0.243 |
| 4 | -0.125 |
| 5 | -0.344 |
| 6 | -0.081 |